a:
{
  "formula": "Ca2Al5Zn3",
  "functional": "PBE",
  "state": "optimized geometry",
  "cell": [[-5.688, 5.911, 2.957], [5.688, -5.911, 2.957], [5.688, 5.911, -2.957]],
  "species": ["Ca", "Ca", "Ca", "Ca", "Al", "Al", "Al", "Al", "Al", "Al", "Al", "Al", "Al", "Al", "Zn", "Zn", "Zn", "Zn", "Zn", "Zn"],
  "fractional_positions": [[0.127, 0.249, 0.376], [0.373, 0.749, 0.123], [0.627, 0.251, 0.877], [0.873, 0.751, 0.624], [0.004, 0.750, 0.254], [0.122, 0.861, 0.984], [0.250, 0.750, 0.500], [0.378, 0.361, 0.739], [0.496, 0.750, 0.746], [0.504, 0.250, 0.254], [0.622, 0.639, 0.261], [0.750, 0.250, 0.500], [0.878, 0.139, 0.016], [0.996, 0.250, 0.746], [0.123, 0.641, 0.764], [0.250, 0.250, 0.000], [0.377, 0.141, 0.518], [0.623, 0.859, 0.482], [0.750, 0.750, 0.000], [0.877, 0.359, 0.236]],
  "spacegroup": "Ibam, No. 72"
}

=====

b:
{
  "formula": "Ca2Al5Zn3",
  "functional": "PBE",
  "state": "optimized geometry",
  "cell": [[4.221, 0.000, 0.000], [0.000, 4.221, 0.000], [0.000, 0.000, 11.264]],
  "species": ["Ca", "Ca", "Al", "Al", "Al", "Al", "Al", "Zn", "Zn", "Zn"],
  "fractional_positions": [[0.000, 0.500, 0.244], [0.500, 0.000, 0.756], [0.000, 0.000, 0.500], [0.000, 0.500, 0.645], [0.500, 0.000, 0.355], [0.500, 0.500, 0.000], [0.500, 0.500, 0.500], [0.000, 0.000, 0.000], [0.000, 0.500, 0.867], [0.500, 0.000, 0.133]],
  "spacegroup": "P-4m2, No. 115"
}

=====

Which one is most stable, and which one is least stable? a is the most stable of them, while b is the least stable.